# 1
Compound: Cs2LiAcI6
Source: the Alexandria database
Functional: GGA-PBE
Structure: optimized geometry

The value obtained for the density of states at the Fermi level is 0.00 states/eV/f.u. As for the crystal system: monoclinic. For the calculated volume, the calculation gives 961.9 Å³ per cell. For the final energy, the calculation gives -3.1932 eV per atom.

It has space group P2_1/c (No. 14), with a = 8.7177 Å, b = 8.8977 Å, c = 15.1272 Å, α = 90.00°, β = 124.93° and γ = 90.00°. Symmetry generates all atoms from Cs at (0.2350, 0.0506, 0.2488), Li at (0.0000, 0.0000, 0.5000), Ac at (0.5000, 0.0000, 0.0000), I at (0.1705, 0.2182, 0.9676), I at (0.2524, 0.7044, 0.9699) and I at (0.3014, 0.0065, 0.7406).

---

# 2
Compound: Cs2AcMgI6
Source: the Alexandria database
Functional: GGA-PBE
Structure: optimized geometry

The value obtained for the density of states at the Fermi level is 2.15 states/eV/f.u. As for the crystal system: orthorhombic. For the calculated volume, the calculation gives 1061.3 Å³ per cell. For the final energy, the calculation gives -2.9500 eV per atom.

It has space group Pmmn (No. 59, origin choice 2), with a = 9.0357 Å, b = 12.8281 Å, c = 9.1562 Å, α = 90.00°, β = 90.00° and γ = 90.00°. Symmetry generates all atoms from Cs at (0.2500, 0.0226, 0.2161), Ac at (0.2500, 0.2500, 0.7339), Mg at (0.2500, 0.7500, 0.7592), I at (0.0064, 0.2500, 0.4711), I at (0.0076, 0.7500, 0.0136) and I at (0.2500, 0.5035, 0.7676).